Version P
5
Lattice="-2.1010 1.6672 -3.8731 -4.2163 -0.7726 1.9546 0.0566 4.3380 1.8366" Properties=species:S:1:pos:R:3 comment="RbGaCo3 GGA-PBE relaxed" dos_ef_per_ev_cell=9.4 pbc="T T T"
Co -1.0505 0.8336 -1.9366
Co -2.1082 -0.3863 0.9773
Co 0.0283 2.1690 0.9183
Rb -3.1304 2.6163 -0.0409
Ga 0.0000 0.0000 0.0000

---

Version Q
5
Lattice="4.6272 0.0000 0.0000 0.0000 4.6272 0.0000 0.0000 0.0000 4.6272" Properties=species:S:1:pos:R:3 comment="RbGaCo3 GGA-PBE relaxed" dos_ef_per_ev_cell=10.0 pbc="T T T"
Co 0.0000 2.3136 0.0000
Co 0.0000 0.0000 2.3136
Co 2.3136 0.0000 0.0000
Ga 2.3136 2.3136 2.3136
Rb 0.0000 0.0000 0.0000

---

So which one wins? Going from most stable to least: version P, version Q.

---

Version P
4
Lattice="1.3639 -2.6685 -3.0078 -0.4701 -4.1893 0.5067 -2.8003 -2.1254 -2.3810" Properties=species:S:1:pos:R:3 comment="Ga2CoRe GGA-PBE relaxed" dos_ef_per_ev_cell=5.2 pbc="T T T"
Co 0.0000 0.0000 0.0000
Re -0.9532 -4.4916 -2.4411
Ga -0.4766 -2.2458 -1.2205
Ga -1.4298 -6.7375 -3.6616

---

Version Q
8
Lattice="-1.3434 -0.5474 -6.5371 -4.7136 -4.5603 1.3505 -4.8283 -0.6316 -2.3844" Properties=species:S:1:pos:R:3 comment="Ga2CoRe GGA-PBE relaxed" dos_ef_per_ev_cell=4.6 pbc="T T T"
Co -3.0285 -2.5539 -2.5933
Co -6.2852 -3.8729 -1.8135
Ga -4.3565 -3.0910 -0.7418
Ga -8.7966 -4.8225 -6.3622
Ga -2.6004 -1.0556 -4.3403
Ga -6.0172 -2.5096 -3.6975
Re 0.0000 0.0000 0.0000
Re -4.6001 -1.8665 -5.7574

---

So which one wins? Going from most stable to least: version P, version Q.

---

Version P
6
Lattice="2.6940 0.0000 0.0000 0.0000 2.6940 0.0000 -1.3470 -1.3470 11.4274" Properties=species:S:1:pos:R:3 comment="GaCoRe GGA-PBE relaxed" dos_ef_per_ev_cell=5.1 pbc="T T T"
Co 1.3470 1.3470 8.4820
Co 0.0000 0.0000 2.9454
Re 0.0000 0.0000 6.7906
Re 1.3470 1.3470 4.6368
Ga 0.0000 0.0000 10.1647
Ga 1.3470 1.3470 1.2627

---

Version Q
3
Lattice="-1.3394 -0.9559 2.1420 0.9201 -2.4830 -0.5328 4.5689 2.6599 2.3408" Properties=species:S:1:pos:R:3 comment="GaCoRe GGA-PBE relaxed" dos_ef_per_ev_cell=2.5 pbc="T T T"
Ga 0.0822 0.0177 0.0593
Re 2.8028 0.6046 2.0223
Co 1.2646 -1.4014 1.8684

---

So which one wins? Going from most stable to least: version P, version Q.

---

Version P
20
Lattice="-0.3231 -4.7274 3.1823 4.4639 -3.5628 -4.8394 5.2868 1.7129 3.6155" Properties=species:S:1:pos:R:3 comment="Ga3CoRh GGA-PBE relaxed" dos_ef_per_ev_cell=4.2 pbc="T T T"
Rh 2.0115 -4.5994 3.5317
Rh 5.7301 -2.1085 2.7578
Rh 7.4161 -1.9778 -1.5732
Rh 3.6975 -4.4688 -0.7993
Ga 2.5920 -2.3602 -0.0943
Ga 3.9512 -3.9889 1.8574
Ga 7.7881 -1.4938 0.9032
Ga 3.4387 -1.0605 2.3622
Ga 4.0502 -3.0504 4.4144
Ga 1.6394 -5.0834 1.0553
Ga 5.3774 -3.5269 -2.4560
Ga 5.3461 0.3568 3.6026
Ga 5.9889 -5.5167 -0.4037
Ga 6.8356 -4.2171 2.0527
Ga 5.4763 -2.5884 0.1011
Ga 4.0815 -6.9340 -1.6442
Co 5.2423 -4.9533 3.7254
Co 1.3250 -2.3004 1.8827
Co 4.1852 -1.6240 -1.7669
Co 8.1026 -4.2769 0.0758

---

Version Q
20
Lattice="-3.4960 1.4581 1.6873 -1.9607 -5.9101 6.1506 2.8199 5.5355 6.1652" Properties=species:S:1:pos:R:3 comment="Ga3CoRh GGA-PBE relaxed" dos_ef_per_ev_cell=10.3 pbc="T T T"
Ga -2.5114 -0.1478 2.5654
Ga -1.2333 1.7635 8.6800
Ga -1.4035 -0.6801 5.3232
Ga 1.2769 2.7777 7.9003
Ga 0.0856 1.1556 1.7243
Ga 0.1965 3.2323 5.2664
Ga -2.2557 2.1938 6.1696
Ga -0.3812 -1.1103 7.8336
Ga -2.7224 -0.0721 12.2788
Ga -0.1255 1.2313 11.4377
Ga -2.8334 -2.1488 8.7367
Ga -3.9137 -1.6942 6.1029
Rh -3.6541 0.4411 4.7841
Rh -1.1386 1.5496 3.9427
Rh -1.4982 -0.4661 10.0604
Rh 1.0173 0.6424 9.2191
Co 1.5328 4.9111 6.5858
Co -0.9760 3.8185 7.4271
Co -4.1697 -3.8276 7.4174
Co -1.6608 -2.7350 6.5760

---

Version R
5
Lattice="-1.5406 4.1307 0.2161 -0.9668 -0.1354 -4.3047 -4.0218 -1.5498 0.9520" Properties=species:S:1:pos:R:3 comment="Ga3CoRh GGA-PBE relaxed" dos_ef_per_ev_cell=4.2 pbc="T T T"
Ga -0.7703 2.0654 0.1080
Ga -0.4834 -0.0677 -2.1523
Ga -2.0109 -0.7749 0.4760
Rh -3.2646 1.2228 -1.5683
Co 0.0000 0.0000 0.0000

---

So which one wins? Going from most stable to least: version Q, version P, version R.

---

Version P
10
Lattice="6.8161 0.0000 0.0000 0.0000 6.8161 0.0000 0.0000 0.0000 2.7509" Properties=species:S:1:pos:R:3 comment="Ga2Co2Rh GGA-PBE relaxed" dos_ef_per_ev_cell=9.4 pbc="T T T"
Co 5.7513 2.3432 1.3754
Co 1.0648 4.4729 1.3754
Co 4.4729 5.7513 1.3754
Co 2.3432 1.0648 1.3754
Ga 2.4370 5.8451 0.0000
Ga 4.3791 0.9711 0.0000
Ga 0.9711 2.4370 0.0000
Ga 5.8451 4.3791 0.0000
Rh 3.4081 3.4081 0.0000
Rh 0.0000 0.0000 0.0000

---

Version Q
10
Lattice="-5.1192 0.4467 4.5488 -3.2585 -5.1461 -3.1618 1.2837 -1.8096 1.6223" Properties=species:S:1:pos:R:3 comment="Ga2Co2Rh GGA-PBE relaxed" dos_ef_per_ev_cell=12.9 pbc="T T T"
Ga -4.6177 -2.1960 3.5325
Ga -2.4764 -4.3130 -0.5233
Ga -5.5070 -4.8336 1.2941
Ga -1.5871 -1.6754 1.7152
Co -6.5248 -2.7985 2.0412
Co -4.8112 -4.3579 -1.0541
Co -3.5665 -0.3415 2.4411
Co -1.8529 -1.9009 -0.6542
Rh 0.0000 0.0000 0.0000
Rh -4.1889 -2.3497 0.6935

---

So which one wins? Going from most stable to least: version P, version Q.

---

Version P
5
Lattice="-2.4521 -3.8470 -0.2012 0.6701 -0.6608 4.4684 -3.7935 2.3700 0.9194" Properties=species:S:1:pos:R:3 comment="Ga3CoS GGA-PBE relaxed" dos_ef_per_ev_cell=2.6 pbc="T T T"
Ga -1.8968 1.1850 0.4597
Ga -1.2261 -1.9235 -0.1006
Ga 0.3351 -0.3304 2.2342
Co 0.0000 0.0000 0.0000
S -2.7878 -1.0689 2.5933

---

Version Q
5
Lattice="4.7562 0.0000 0.0000 0.0000 4.7562 0.0000 0.0000 0.0000 4.7562" Properties=species:S:1:pos:R:3 comment="Ga3CoS GGA-PBE relaxed" dos_ef_per_ev_cell=4.2 pbc="T T T"
Co 2.3781 2.3781 2.3781
Ga 0.0000 0.0000 2.3781
Ga 0.0000 2.3781 0.0000
Ga 2.3781 0.0000 0.0000
S 0.0000 0.0000 0.0000

---

So which one wins? Going from most stable to least: version P, version Q.

---

Version P
4
Lattice="0.0000 3.0402 3.0402 3.0402 0.0000 3.0402 3.0402 3.0402 0.0000" Properties=species:S:1:pos:R:3 comment="GaCo2Sb GGA-PBE relaxed" dos_ef_per_ev_cell=9.8 pbc="T T T"
Co 4.5604 4.5604 4.5604
Co 1.5201 1.5201 1.5201
Sb 3.0402 3.0402 3.0402
Ga 0.0000 0.0000 0.0000

---

Version Q
8
Lattice="-2.3053 -0.4422 3.2985 1.2306 -3.8414 0.3451 5.7444 0.2944 6.5386" Properties=species:S:1:pos:R:3 comment="GaCo2Sb GGA-PBE relaxed" dos_ef_per_ev_cell=9.3 pbc="T T T"
Co 3.2973 -3.3067 8.0723
Co 3.9760 -1.6062 6.2901
Co 0.2815 -0.6575 3.5499
Co 1.7847 -2.4080 2.4521
Ga 3.2189 -2.8444 4.3528
Ga -0.5373 -2.1418 1.8218
Sb 0.0000 0.0000 0.0000
Sb 1.4509 -1.1448 5.8295

---

So which one wins? Going from most stable to least: version P, version Q.

---

Version P
5
Lattice="4.5711 0.0000 0.0000 0.0000 4.8379 0.0000 0.0000 0.0000 4.5711" Properties=species:S:1:pos:R:3 comment="ScGa2CoSb GGA-PBE relaxed" dos_ef_per_ev_cell=3.9 pbc="T T T"
Co 0.0000 0.0000 0.0000
Ga 0.0000 0.0000 2.2855
Ga 2.2855 0.0000 0.0000
Sc 0.0000 2.4189 0.0000
Sb 2.2855 2.4189 2.2855

---

Version Q
5
Lattice="-2.5516 0.1035 -3.6368 -3.8911 -2.3485 2.6632 -1.5691 3.9764 1.2141" Properties=species:S:1:pos:R:3 comment="ScGa2CoSb GGA-PBE relaxed" dos_ef_per_ev_cell=5.5 pbc="T T T"
Co 0.0000 0.0000 0.0000
Ga -0.7845 1.9882 0.6070
Ga -1.2758 0.0518 -1.8184
Sc -4.0059 0.8657 0.1202
Sb -1.9455 -1.1743 1.3316

---

So which one wins? Going from most stable to least: version P, version Q.

---

Version P
8
Lattice="3.4756 0.0000 0.0000 0.0000 4.1923 0.0000 0.0000 0.0000 10.3192" Properties=species:S:1:pos:R:3 comment="Sc4Ga3Co GGA-PBE relaxed" dos_ef_per_ev_cell=6.6 pbc="T T T"
Sc 0.0000 0.0000 1.4628
Sc 1.7378 2.0961 3.3966
Sc 0.0000 2.0961 8.9942
Sc 1.7378 0.0000 6.7805
Ga 0.0000 2.0961 5.9529
Ga 1.7378 0.0000 9.5818
Ga 0.0000 0.0000 4.3649
Co 1.7378 2.0961 0.7430

---

Version Q
8
Lattice="-0.2145 1.3931 2.9240 -1.4784 -2.6494 1.1538 12.1298 -5.2846 3.4078" Properties=species:S:1:pos:R:3 comment="Sc4Ga3Co GGA-PBE relaxed" dos_ef_per_ev_cell=3.4 pbc="T T T"
Co -0.8465 -0.6282 2.0389
Ga 5.2184 -3.2705 3.7428
Ga 2.0515 -1.8907 2.8530
Ga 8.3854 -4.6502 4.6325
Sc 10.7948 -4.7030 3.0327
Sc 1.3350 -0.5816 0.3751
Sc 4.4735 -1.9490 1.2568
Sc 7.6563 -3.3356 2.1510

---

So which one wins? Going from most stable to least: version Q, version P.

---

Version P
5
Lattice="-1.9929 -2.8745 -2.5035 2.9561 -2.9490 1.0329 -2.4067 -1.2419 3.3418" Properties=species:S:1:pos:R:3 comment="ScGaCo3 GGA-PBE relaxed" dos_ef_per_ev_cell=2.5 pbc="T T T"
Sc -0.7218 -3.5327 0.9356
Co -1.2033 -0.6210 1.6709
Co 1.4780 -1.4745 0.5165
Co -0.9964 -1.4373 -1.2518
Ga 0.0000 0.0000 0.0000

---

Version Q
5
Lattice="4.3643 0.0000 0.0000 0.0000 4.3643 0.0000 0.0000 0.0000 4.3643" Properties=species:S:1:pos:R:3 comment="ScGaCo3 GGA-PBE relaxed" dos_ef_per_ev_cell=5.1 pbc="T T T"
Ga 2.1822 2.1822 2.1822
Co 0.0000 0.0000 2.1822
Co 0.0000 2.1822 0.0000
Co 2.1822 0.0000 0.0000
Sc 0.0000 0.0000 0.0000

---

So which one wins? Going from most stable to least: version P, version Q.

---

Version P
20
Lattice="-2.6565 -4.5996 0.4421 3.2689 -4.3894 6.1039 -4.6603 0.2512 6.7401" Properties=species:S:1:pos:R:3 comment="Sc2Ga5Co3 GGA-PBE relaxed" dos_ef_per_ev_cell=10.9 pbc="T T T"
Co -1.6318 -4.7841 4.6795
Co -1.4788 -1.7965 4.5527
Co -2.4161 -3.9537 8.6067
Co -2.5691 -6.9413 8.7335
Co -1.9924 -3.4497 0.3316
Co -0.6641 -1.1499 0.1105
Ga -3.6329 -7.6787 10.7339
Ga 0.3116 -5.8276 5.5006
Ga -2.6881 -5.5188 6.7536
Ga -3.2245 -0.6809 5.6699
Ga -1.3598 -3.2190 6.5326
Ga -0.8234 -8.0569 7.6163
Ga -1.7433 -3.3589 2.7734
Ga -2.3046 -5.3789 10.5128
Ga -4.3595 -2.9102 7.7855
Ga -0.4150 -1.0591 2.5523
Sc -4.9026 -5.5772 8.9045
Sc -3.9620 -3.4188 4.8827
Sc 0.8547 -3.1606 4.3817
Sc -0.0859 -5.3190 8.4035

---

Version Q
20
Lattice="3.9877 0.0000 -0.6793 0.0000 6.4274 0.0000 -0.0288 0.0000 11.8754" Properties=species:S:1:pos:R:3 comment="Sc2Ga5Co3 GGA-PBE relaxed" dos_ef_per_ev_cell=13.2 pbc="T T T"
Sc 2.0890 1.8410 0.2187
Sc 0.6902 4.4847 4.0520
Sc 3.2687 1.2710 7.1441
Sc 1.8700 5.0547 10.9774
Ga 1.1584 5.7134 6.8005
Ga 1.5830 2.6629 9.2929
Ga 2.8246 6.3200 4.5369
Ga 3.4692 4.8785 8.3213
Ga 0.4897 1.6647 2.8748
Ga 3.7534 0.7269 9.9894
Ga 0.2055 3.9406 1.2067
Ga 1.1344 3.1063 6.6591
Ga 2.8005 2.4997 4.3956
Ga 2.3759 5.8767 1.9032
Co 1.5337 0.2488 9.0034
Co 0.1820 0.0116 1.0684
Co 0.8941 1.1667 5.2486
Co 3.0649 4.3804 5.9475
Co 3.7769 3.2253 10.1277
Co 2.4252 3.4625 2.1927

---

So which one wins? Going from most stable to least: version P, version Q.